Record 1
An optimized crystal structure of Ca3Si3Au2, computed with GGA-PBE.

M_tot   0.00 μB per formula unit
ΔE_f (raw)   -482 kJ/mol of formula units
VASP energy   -4.2276 eV per atom

Unit cell a=4.394 b=5.758 c=14.724 alpha=90.00 beta=90.00 gamma=112.43
Fractional positions:
Ca 0.893 0.787 0.389
Ca 0.107 0.213 0.889
Ca 0.893 0.787 0.111
Ca 0.107 0.213 0.611
Ca 0.613 0.226 0.250
Ca 0.387 0.774 0.750
Si 0.599 0.198 0.464
Si 0.401 0.802 0.964
Si 0.599 0.198 0.036
Si 0.401 0.802 0.536
Si 0.318 0.636 0.250
Si 0.682 0.364 0.750
Au 0.816 0.633 0.898
Au 0.184 0.367 0.398
Au 0.816 0.633 0.602
Au 0.184 0.367 0.102


Record 2
An optimized crystal structure of Ca3Y2Cd4, computed with GGA-PBE.

M_tot   0.00 μB per formula unit
VASP energy   -2.7822 eV per atom
ΔE_f   -0.2718 eV per atom

Unit cell a=5.369 b=5.371 c=10.279 alpha=89.99 beta=90.00 gamma=60.01
Fractional positions:
Ca 0.333 0.333 0.416
Ca 0.000 0.000 0.000
Ca 0.667 0.667 0.584
Y 0.333 0.334 0.794
Y 0.667 0.666 0.206
Cd 0.667 0.667 0.896
Cd 0.000 0.000 0.332
Cd 0.000 0.000 0.668
Cd 0.333 0.333 0.104


Record 3
An optimized crystal structure of CaCo2BI, computed with GGA-PBE.

M_tot   2.00 μB per formula unit
ΔE_f (raw)   176 kJ/mol of formula units
VASP energy   -4.5237 eV per atom

Unit cell a=4.028 b=5.918 c=4.028 alpha=90.00 beta=90.00 gamma=90.00
Fractional positions:
I 0.000 0.500 0.000
Ca 0.500 0.500 0.500
B 0.000 0.000 0.000
Co 0.000 0.000 0.500
Co 0.500 0.000 0.000


Record 4
An optimized crystal structure of AcTbAg3, computed with GGA-PBE.

M_tot   0.00 μB per formula unit
VASP energy   -3.7366 eV per atom
ΔE_f   -0.2781 eV per atom

Unit cell a=3.886 b=4.837 c=14.232 alpha=90.00 beta=97.85 gamma=90.00
Fractional positions:
Ac 0.923 0.750 0.847
Ac 0.077 0.250 0.153
Tb 0.209 0.750 0.418
Tb 0.791 0.250 0.582
Ag 0.625 0.750 0.250
Ag 0.375 0.250 0.750
Ag 0.525 0.750 0.050
Ag 0.475 0.250 0.950
Ag 0.682 0.250 0.364
Ag 0.318 0.750 0.636


Which of these has the highest M_tot?
CaCo2BI